VASP calculation (GGA+U) on crystalline BeFeF3 at its relaxed geometry.

abc: 3.594 3.594 3.594
angles: 90.00 90.00 90.00
Site moments in Bohr magnetons follow the coordinates.
Atoms (fractional coordinates):
Be 0.000 0.000 0.000  0.00
Fe 0.500 0.500 0.500  2.89
F 0.000 0.500 0.000  0.01
F 0.000 0.000 0.500  0.01
F 0.500 0.000 0.000  0.01

## Properties
The space group is Pm-3m (221). The value obtained for the density of states at the Fermi level is 0.80 states/eV per cell. The total energy is -0.366 Ry per atom. The mass density is 4.36 g/cm3.


VASP calculation (GGA+U) on crystalline Be3FeF at its relaxed geometry.

abc: 3.635 3.635 3.635
angles: 90.00 90.00 90.00
Site moments in Bohr magnetons follow the coordinates.
Atoms (fractional coordinates):
Be 0.000 0.500 0.000  -0.11
Be 0.000 0.000 0.500  -0.12
Be 0.500 0.000 0.000  -0.10
Fe 0.500 0.500 0.500  2.80
F 0.000 0.000 0.000  -0.07

## Properties
The space group is Pm-3m (221). The value obtained for the density of states at the Fermi level is 1.88 states/eV per cell. The total energy is -0.260 Ry per atom. The mass density is 3.52 g/cm3. Its energy above the most stable polymorph in this dataset is 0.0000 eV per atom.